Mg8SiSn3 | GGA-PBE | relaxed

The structure belongs to space group Pm-3m (No. 221); the cell edges are 6.700, 6.700 and 6.700 Å and the angles 90.00°, 90.00° and 90.00°. The asymmetric unit holds Mg at (0.244, 0.244, 0.244), Si at (0.000, 0.000, 0.000) and Sn at (0.000, 0.500, 0.500).

The formation energy (no corrections) is -0.1688 eV per atom. The magnetic moment is 0.00 Bohr magnetons per cell. The calculation puts the density at 3.2 g/cm³.